1.
The following is a PBE calculation of BaYAl2 after structural relaxation, from Alexandria via LeMat-Bulk.

## Properties
- space-group type = No. 166
- magnetization (Bohr magnetons per cell) = 0.000
- crystal system = trigonal
- electronic total energy (eV/atom) = -3.875
- energy of formation (eV/f.u.) = 0.37

Cell: 10.3874 10.3874 10.3874 Å, 20.61 20.61 20.61°
Last column: nearest neighbours and their distance in Å.
Positions (direct):
Y 0.7500 0.7500 0.7500  6 Al 3.14
Ba 0.2500 0.2500 0.2500  6 Al 3.52, 6 Ba 3.72
Al 0.0080 0.0080 0.0080  3 Y 3.14, 3 Ba 3.52
Al 0.4920 0.4920 0.4920  3 Y 3.14, 3 Ba 3.52

***

2.
The following is a PBE calculation of Tb3Pr3Er after structural relaxation, from Alexandria via LeMat-Bulk.

## Properties
- space-group type = No. 148
- magnetization (Bohr magnetons per cell) = 0.000
- crystal system = trigonal
- electronic total energy (eV/atom) = -4.437
- energy of formation (eV/f.u.) = 1.74

Cell: 8.7396 8.7396 8.9060 Å, 60.62 60.62 60.00°
Last column: nearest neighbours and their distance in Å.
Positions (direct):
Tb 0.5696 0.7252 0.6408  3 Pr 3.27-3.43, 2 Tb 3.66
Tb 0.7252 0.0644 0.6408  3 Pr 3.27-3.43, 2 Tb 3.66
Tb 0.0644 0.5696 0.6408  3 Pr 3.27-3.43, 2 Tb 3.66
Tb 0.9356 0.4304 0.3592  3 Pr 3.27-3.43, 2 Tb 3.66
Tb 0.2748 0.9356 0.3592  3 Pr 3.27-3.43, 2 Tb 3.66
Tb 0.4304 0.2748 0.3592  3 Pr 3.27-3.43, 2 Tb 3.66
Pr 0.1839 0.7027 0.1767  3 Tb 3.27-3.43, 4 Pr 3.34-3.64, 1 Er 3.51
Pr 0.9367 0.1839 0.1767  3 Tb 3.27-3.43, 4 Pr 3.34-3.64, 1 Er 3.51
Pr 0.7027 0.9367 0.1767  3 Tb 3.27-3.43, 4 Pr 3.34-3.64, 1 Er 3.51
Pr 0.2973 0.0633 0.8233  3 Tb 3.27-3.43, 4 Pr 3.34-3.64, 1 Er 3.51
Pr 0.0633 0.8161 0.8233  3 Tb 3.27-3.43, 4 Pr 3.34-3.64, 1 Er 3.51
Pr 0.8161 0.2973 0.8233  3 Tb 3.27-3.43, 4 Pr 3.34-3.64, 1 Er 3.51
Er 0.3476 0.3476 0.9572  6 Pr 3.51-3.78, 6 Tb 3.69-3.81
Er 0.6524 0.6524 0.0428  6 Pr 3.51-3.78, 6 Tb 3.69-3.81

***

3.
The following is a PBE calculation of Zr2TaSnN after structural relaxation, from Alexandria via LeMat-Bulk.

## Properties
- space-group type = No. 123
- magnetization (Bohr magnetons per cell) = 0.001
- crystal system = tetragonal
- electronic total energy (eV/atom) = -8.965
- uncorrected formation energy (eV per atom) = -0.71

Cell: 4.6736 4.6736 4.0998 Å, 90.00 90.00 90.00°
Last column: nearest neighbours and their distance in Å.
Positions (direct):
N 0.0000 0.0000 0.0000  2 Ta 2.05
Sn 0.5000 0.5000 0.5000  8 Zr 3.11, 4 Ta 3.30
Zr 0.0000 0.5000 0.0000  2 N 2.34
Zr 0.5000 0.0000 0.0000  2 N 2.34
Ta 0.0000 0.0000 0.5000  2 N 2.05

***

4.
The following is a PBE calculation of CaEu2Zn after structural relaxation, from Alexandria via LeMat-Bulk.

## Properties
- space-group type = No. 123
- magnetization (Bohr magnetons per cell) = 14.727
- crystal system = tetragonal
- electronic total energy (eV/atom) = -6.090
- energy of formation (eV/f.u.) = -0.54

Cell: 3.8088 3.8088 9.5100 Å, 90.00 90.00 90.00°
Last column: nearest neighbours and their distance in Å.
Positions (direct):
Eu 0.0000 0.0000 0.8098  4 Zn 3.24, 1 Eu 3.62
Eu 0.0000 0.0000 0.1902  4 Zn 3.24, 1 Eu 3.62
Zn 0.5000 0.5000 0.0000  8 Eu 3.24
Ca 0.5000 0.5000 0.5000  4 Ca 3.81, 8 Eu 3.99

***

5.
The following is a PBE calculation of KTl2AuN after structural relaxation, from Alexandria via LeMat-Bulk.

## Properties
- space-group type = No. 123
- magnetization (Bohr magnetons per cell) = 0.000
- crystal system = tetragonal
- electronic total energy (eV/atom) = -2.955
- uncorrected formation energy (eV per atom) = 0.53

Cell: 6.3960 3.8252 6.3960 Å, 90.00 90.00 90.00°
Last column: nearest neighbours and their distance in Å.
Positions (direct):
Tl 0.0000 0.0000 0.5000  2 Au 3.20
Tl 0.5000 0.0000 0.0000  2 Au 3.20
Au 0.0000 0.0000 0.0000  2 N 1.91
K 0.5000 0.5000 0.5000  8 Tl 3.73, 2 K 3.83
N 0.0000 0.5000 0.0000  2 Au 1.91

***

6.
The following is a PBE calculation of POsBr2 after structural relaxation, from Alexandria via LeMat-Bulk.

## Properties
- space-group type = No. 44
- magnetization (Bohr magnetons per cell) = 0.000
- crystal system = orthorhombic
- electronic total energy (eV/atom) = -4.499
- uncorrected formation energy (eV per atom) = 0.50

Cell: 6.9772 6.9772 6.9772 Å, 154.80 138.39 49.27°
Last column: nearest neighbours and their distance in Å.
Positions (direct):
Br 0.9846 0.9846 0.0000  4 Os 2.91, 2 P 2.98, 2 Br 3.04
Br 0.6756 0.1756 0.5000  2 Os 2.85, 2 Br 3.04
Os 0.4858 0.4858 0.0000  2 P 2.26
P 0.3541 0.8541 0.5000  2 Os 2.26

***

7.
The following is a PBE calculation of Na3Ce2CrSe6 after structural relaxation, from Alexandria via LeMat-Bulk.

## Properties
- space-group type = No. 12
- magnetization (Bohr magnetons per cell) = 5.004
- crystal system = monoclinic
- electronic total energy (eV/atom) = -5.175
- uncorrected formation energy (eV per atom) = -1.31

Cell: 7.1437 7.1437 7.3669 Å, 99.28 99.28 120.10°
Last column: nearest neighbours and their distance in Å.
Positions (direct):
Na 0.1682 0.8318 0.5000  6 Se 2.99-3.15
Na 0.8318 0.1682 0.5000  6 Se 2.99-3.15
Na 0.5000 0.5000 0.5000  6 Se 2.99-3.21
Ce 0.3331 0.6669 0.0000  6 Se 2.92-2.93
Ce 0.6669 0.3331 0.0000  6 Se 2.92-2.93
Cr 0.0000 0.0000 0.0000  6 Se 2.69-2.74
Se 0.9238 0.6116 0.7727  1 Cr 2.74, 2 Ce 2.92-2.93, 2 Na 2.99
Se 0.7659 0.7659 0.2223  1 Cr 2.69, 2 Ce 2.92
Se 0.0762 0.3884 0.2273  1 Cr 2.74, 2 Ce 2.92-2.93, 2 Na 2.99
Se 0.6116 0.9238 0.7727  1 Cr 2.74, 2 Ce 2.92-2.93, 2 Na 2.99
Se 0.2341 0.2341 0.7777  1 Cr 2.69, 2 Ce 2.92
Se 0.3884 0.0762 0.2273  1 Cr 2.74, 2 Ce 2.92-2.93, 2 Na 2.99

***

8.
The following is a PBE calculation of CaTl2As2Pd7 after structural relaxation, from Alexandria via LeMat-Bulk.

## Properties
- space-group type = No. 12
- magnetization (Bohr magnetons per cell) = 0.000
- crystal system = monoclinic
- electronic total energy (eV/atom) = -4.714
- energy of formation (eV/f.u.) = -4.18

Cell: 4.0558 4.0558 14.6715 Å, 85.45 85.45 89.85°
Last column: nearest neighbours and their distance in Å.
Positions (direct):
Ca 0.0000 0.0000 0.0000  12 Pd 2.86-2.98
Tl 0.8978 0.8978 0.4017  5 Pd 2.83-3.04
Tl 0.1022 0.1022 0.5983  5 Pd 2.83-3.04
As 0.5725 0.5725 0.7554  5 Pd 2.46-2.47
As 0.4275 0.4275 0.2446  5 Pd 2.46-2.47
Pd 0.5000 0.5000 0.0000  4 Ca 2.86-2.87, 8 Pd 2.97-2.98
Pd 0.4027 0.4027 0.4136  1 As 2.47
Pd 0.5973 0.5973 0.5864  1 As 2.47
Pd 0.9550 0.4563 0.1494  2 As 2.46
Pd 0.4563 0.9550 0.1494  2 As 2.46
Pd 0.5437 0.0450 0.8506  2 As 2.46
Pd 0.0450 0.5437 0.8506  2 As 2.46

***

Q: The highest electronic total energy belongs to which entry?
A: KTl2AuN